No. 1
Material: CuPt6Rh
Method: DFT, GGA-PBE
State: relaxed

Results
Crystal system: tetragonal
Size of the total moment, μB per formula unit: 1.6

Lattice parameters (Å, degrees): 3.9299 3.9299 7.8371 90.00 90.00 90.00
Closest atoms and distances in Å follow each position.
Space group P4/mmm (No. 123)
Inequivalent atoms, fractional coordinates:
1 Cu 0.0000 0.0000 0.0000 (multiplicity 1)  12 Pt 2.75-2.78
2 Pt 0.0000 0.5000 0.2463 (multiplicity 4)  8 Pt 2.75-2.80, 2 Cu 2.75, 2 Rh 2.80
3 Pt 0.5000 0.5000 0.0000 (multiplicity 1)  8 Pt 2.75, 4 Cu 2.78
4 Pt 0.5000 0.5000 0.5000 (multiplicity 1)  4 Rh 2.78, 8 Pt 2.80
5 Rh 0.0000 0.0000 0.5000 (multiplicity 1)  12 Pt 2.78-2.80


No. 2
Material: Cu2Pt8Rh
Method: DFT, GGA-PBE
State: relaxed

Results
Crystal system: monoclinic
Size of the total moment, μB per formula unit: 0.0

Lattice parameters (Å, degrees): 11.7020 7.0863 4.5763 90.00 104.82 90.00
Closest atoms and distances in Å follow each position.
Space group C2/m (No. 12)
Inequivalent atoms, fractional coordinates:
1 Cu 0.1229 0.0000 0.0203 (multiplicity 4)  1 Rh 2.45, 5 Pt 2.49-2.66
2 Pt 0.0729 0.3043 0.2921 (multiplicity 8)  1 Rh 2.59, 1 Cu 2.63, 8 Pt 2.67-2.88
3 Pt 0.1424 0.5000 0.8398 (multiplicity 4)  1 Cu 2.66, 8 Pt 2.72-2.80
4 Pt 0.2255 0.0000 0.5694 (multiplicity 4)  2 Cu 2.49-2.64, 1 Rh 2.58, 4 Pt 2.67-2.75
5 Rh 0.0000 0.0000 0.5000 (multiplicity 2)  2 Cu 2.45, 6 Pt 2.58-2.59


No. 3
Material: Cu2PtRh
Method: DFT, GGA-PBE
State: relaxed

Results
Crystal system: trigonal
Size of the total moment, μB per formula unit: 0.9

Lattice parameters (Å, degrees): 2.7217 2.7217 25.6740 90.00 90.00 120.00
Closest atoms and distances in Å follow each position.
Space group R-3m (No. 166, hexagonal axes)
Inequivalent atoms, fractional coordinates:
1 Cu 0.0000 0.0000 0.2491 (multiplicity 6)  3 Rh 2.64, 3 Pt 2.67, 6 Cu 2.72
2 Pt 0.0000 0.0000 0.0000 (multiplicity 3)  6 Cu 2.67, 6 Pt 2.72
3 Rh 0.0000 0.0000 0.5000 (multiplicity 3)  6 Cu 2.64, 6 Rh 2.72


No. 4
Material: CuPt4Rh
Method: DFT, GGA-PBE
State: relaxed

Results
Crystal system: cubic
Size of the total moment, μB per formula unit: 1.8

Lattice parameters (Å, degrees): 7.3708 7.3708 7.3708 90.00 90.00 90.00
Closest atoms and distances in Å follow each position.
Space group F-43m (No. 216)
Inequivalent atoms, fractional coordinates:
1 Cu 0.0000 0.0000 0.0000 (multiplicity 4)  12 Pt 3.06, 4 Rh 3.19
2 Pt 0.1251 0.1251 0.6251 (multiplicity 16)  6 Pt 2.60-2.61
3 Rh 0.2500 0.2500 0.2500 (multiplicity 4)  12 Pt 3.06, 4 Cu 3.19


no.,N(E_F) (states/eV per atom),distance to the lowest polymorph of the same formula (eV/atom)
1,1.453,0.000
2,1.527,0.095
3,0.946,0.012
4,1.406,0.287